Record 1
Below is AcSm2YHo5 after structural relaxation, with properties calculated at the PBE level.

Unit cell a=8.8891 b=8.8891 c=9.9215 alpha=116.61 beta=116.61 gamma=90.00
Fractional positions:
Ac: 0.2500 0.2500 0.5000
Ac: 0.7500 0.7500 0.5000
Sm: 0.1151 0.3849 0.0000
Sm: 0.6151 0.1151 0.0000
Sm: 0.3849 0.8849 0.0000
Sm: 0.8849 0.6151 0.0000
Y: 0.2500 0.7500 0.5000
Y: 0.7500 0.2500 0.5000
Ho: 0.9245 0.4245 0.2616
Ho: 0.6630 0.1630 0.7384
Ho: 0.0755 0.5755 0.7384
Ho: 0.1630 0.0755 0.7384
Ho: 0.5755 0.6630 0.7384
Ho: 0.8370 0.9245 0.2616
Ho: 0.4245 0.3370 0.2616
Ho: 0.3370 0.8370 0.2616
Ho: 0.5000 0.5000 0.0000
Ho: 0.0000 0.0000 0.0000

Record 2
Below is AcSmY2Ho after structural relaxation, with properties calculated at the PBE level.

Unit cell a=6.4528 b=6.5338 c=9.3492 alpha=110.45 beta=90.00 gamma=90.00
Fractional positions:
Ac: 0.2500 0.6598 0.3196
Ac: 0.7500 0.3402 0.6804
Sm: 0.2500 0.8467 0.6934
Sm: 0.7500 0.1533 0.3066
Y: 0.5000 0.2456 0.0000
Y: 0.0000 0.7544 0.0000
Y: 0.5000 0.7544 0.0000
Y: 0.0000 0.2456 0.0000
Ho: 0.7500 0.7662 0.5323
Ho: 0.2500 0.2338 0.4677

Record 3
Below is AcSmYHo2 after structural relaxation, with properties calculated at the PBE level.

Unit cell a=7.3479 b=8.4777 c=7.3024 alpha=125.48 beta=90.00 gamma=90.00
Fractional positions:
Ac: 0.2500 0.7370 0.4739
Ac: 0.7500 0.2630 0.5261
Sm: 0.2500 0.0134 0.0269
Sm: 0.7500 0.9866 0.9731
Y: 0.7500 0.7101 0.4202
Y: 0.2500 0.2899 0.5798
Ho: 0.5000 0.3117 0.0000
Ho: 0.0000 0.6883 0.0000
Ho: 0.5000 0.6883 0.0000
Ho: 0.0000 0.3117 0.0000

Record 4
Below is AcSmHoZn after structural relaxation, with properties calculated at the PBE level.

Unit cell a=5.5524 b=5.5524 c=5.5524 alpha=60.00 beta=60.00 gamma=60.00
Fractional positions:
Zn: 0.2500 0.2500 0.2500
Ac: 0.7500 0.7500 0.7500
Ho: 0.5000 0.5000 0.5000
Sm: 0.0000 0.0000 0.0000

Record 5
Below is Ac3Ho2Sn4 after structural relaxation, with properties calculated at the PBE level.

Unit cell a=4.7525 b=7.3217 c=10.1650 alpha=112.15 beta=90.00 gamma=108.94
Fractional positions:
Ac: 0.6183 0.2367 0.6999
Ac: 0.0000 0.0000 0.0000
Ac: 0.3817 0.7633 0.3001
Ho: 0.6850 0.3701 0.3533
Ho: 0.3150 0.6299 0.6467
Sn: 0.7110 0.4219 0.0667
Sn: 0.2890 0.5781 0.9333
Sn: 0.9229 0.8459 0.5830
Sn: 0.0771 0.1541 0.4170

Record 6
Below is AcHo3Sn2 after structural relaxation, with properties calculated at the PBE level.

Unit cell a=4.7555 b=10.5486 c=9.4051 alpha=123.45 beta=90.00 gamma=103.03
Fractional positions:
Ac: 0.8832 0.7664 0.9153
Ac: 0.1168 0.2336 0.0847
Ho: 0.3068 0.6135 0.4998
Ho: 0.9414 0.8828 0.5748
Ho: 0.6381 0.2761 0.7915
Ho: 0.3619 0.7239 0.2085
Ho: 0.0586 0.1172 0.4252
Ho: 0.6932 0.3865 0.5002
Sn: 0.4842 0.9684 0.8212
Sn: 0.5158 0.0316 0.1788
Sn: 0.7645 0.5290 0.2284
Sn: 0.2355 0.4710 0.7716

Record 7
Below is Ac5HoSn6 after structural relaxation, with properties calculated at the PBE level.

Unit cell a=6.0951 b=9.5208 c=10.0414 alpha=61.70 beta=72.36 gamma=50.26
Fractional positions:
Ac: 0.5000 0.1838 0.6324
Ac: 0.0000 0.3462 0.3075
Ac: 0.5000 0.5000 0.0000
Ac: 0.0000 0.6538 0.6925
Ac: 0.5000 0.8162 0.3676
Ho: 0.0000 0.0000 0.0000
Sn: 0.7825 0.0572 0.3203
Sn: 0.2175 0.6224 0.3203
Sn: 0.2970 0.2035 0.0000
Sn: 0.7030 0.7965 0.0000
Sn: 0.7825 0.3776 0.6797
Sn: 0.2175 0.9428 0.6797

Record 8
Below is Ac3HoSn2 after structural relaxation, with properties calculated at the PBE level.

Unit cell a=7.5486 b=8.5183 c=9.5948 alpha=116.35 beta=113.16 gamma=90.00
Fractional positions:
Ac: 0.5000 0.2500 0.0000
Ac: 0.5000 0.7500 0.0000
Ac: 0.7897 0.0397 0.5795
Ac: 0.2103 0.4603 0.4205
Ac: 0.2103 0.9603 0.4205
Ac: 0.7897 0.5397 0.5795
Ho: 0.0000 0.5000 0.0000
Ho: 0.0000 0.0000 0.0000
Sn: 0.5528 0.3616 0.7231
Sn: 0.8296 0.1384 0.2769
Sn: 0.1704 0.8616 0.7231
Sn: 0.4472 0.6384 0.2769

Taking the records one at a time from the top gives formation enthalpy at 0 K values of 263 396 353 177 -626 -473 -597 -306 meV per atom.
Taking the records one at a time from the top gives density of states at the Fermi level values of 19.85 17.43 15.05 6.30 6.45 14.27 12.45 13.80 states/eV per cell.
Taking the records one at a time from the top gives magnetic moment values of 0.00 0.00 0.00 0.00 0.00 0.00 0.00 0.00 μB/f.u..